Compound: Re3BiSe
Source: Alexandria via LeMat-Bulk
Functional: GGA-PBE
Structure: optimized geometry

Lattice parameters (Å, degrees): 4.652 4.652 4.652 90.00 90.00 90.00
Fractional positions:
Re (0.000, 0.000, 0.500)
Re (0.000, 0.500, 0.000)
Re (0.500, 0.000, 0.000)
Bi (0.500, 0.500, 0.500)
Se (0.000, 0.000, 0.000)

Computed properties:
raw formation energy = 1.68 eV/atom
offset from the most stable computed form = 0 meV/atom
calculated total energy = -7.265 eV per atom